1.
This record from Alexandria describes an optimized crystal structure of CeAlNi. The functional is GGA-PBE.

Cell: 3.015 3.015 11.552 Å, 90.00 90.00 90.00°
Space group I4mm (No. 107)
Inequivalent atoms, fractional coordinates:
Ce 0.000 0.000 0.000
Al 0.000 0.000 0.287
Ni 0.000 0.000 0.678

2.
This record from Alexandria describes an optimized crystal structure of Ce2AlNi7. The functional is GGA-PBE.

Cell: 3.736 3.736 10.853 Å, 90.00 90.00 90.00°
Space group P-4m2 (No. 115)
Inequivalent atoms, fractional coordinates:
Ce 0.000 0.500 0.230
Al 0.000 0.000 0.500
Ni 0.000 0.000 0.000
Ni 0.000 0.500 0.642
Ni 0.000 0.500 0.859
Ni 0.500 0.500 0.000
Ni 0.500 0.500 0.500

3.
This record from Alexandria describes an optimized crystal structure of CeAl4Ni2. The functional is GGA-PBE.

Cell: 7.513 7.513 4.053 Å, 90.00 90.00 90.00°
Space group P4_2/mnm (No. 136)
Inequivalent atoms, fractional coordinates:
Ce 0.000 0.000 0.000
Al 0.083 0.333 0.500
Ni 0.222 0.778 0.500

Output
- ΔE to the lowest computed polymorph (meV/atom) = 69

4.
This record from Alexandria describes an optimized crystal structure of CeAlNi. The functional is GGA-PBE.

Cell: 4.962 4.316 5.362 Å, 90.00 107.89 90.00°
Space group P2_1/m (No. 11)
Inequivalent atoms, fractional coordinates:
Ce 0.226 0.250 0.066
Al 0.164 0.750 0.551
Ni 0.430 0.250 0.629

5.
This record from Alexandria describes an optimized crystal structure of CeAlNi. The functional is GGA-PBE.

Cell: 6.8836 6.8836 4.0555 Å, 90.00 90.00 120.00°
Space group P-62m (No. 189)
Inequivalent atoms, fractional coordinates:
Ce 0.0000 0.5761 0.0000
Al 0.0000 0.2324 0.5000
Ni 0.0000 0.0000 0.0000
Ni 0.3333 0.6667 0.5000

6.
This record from Alexandria describes an optimized crystal structure of CeAl4Ni. The functional is GGA-PBE.

Cell: 4.117 6.628 8.052 Å, 90.00 104.71 90.00°
Space group P2_1/m (No. 11)
Inequivalent atoms, fractional coordinates:
Ce 0.115 0.250 0.230
Al 0.077 0.750 0.155
Al 0.311 0.053 0.621
Al 0.500 0.000 0.000
Ni 0.226 0.750 0.453

7.
This record from Alexandria describes an optimized crystal structure of CeAl2Ni6. The functional is GGA-PBE.

Cell: 3.150 6.372 12.576 Å, 90.00 90.00 90.00°
Space group Immm (No. 71)
Inequivalent atoms, fractional coordinates:
Ce 0.000 0.000 0.000
Al 0.000 0.500 0.139
Ni 0.000 0.178 0.500
Ni 0.000 0.304 0.317

8.
This record from Alexandria describes an optimized crystal structure of CeAlNi3. The functional is GGA-PBE.

Cell: 4.726 14.389 4.670 Å, 90.00 90.00 90.00°
Space group Cmcm (No. 63)
Inequivalent atoms, fractional coordinates:
Ce 0.000 0.192 0.250
Al 0.000 0.452 0.750
Ni 0.000 0.000 0.000
Ni 0.239 0.379 0.250

9.
This record from Alexandria describes an optimized crystal structure of Ce2AlNi5. The functional is GGA-PBE.

Cell: 5.861 5.861 7.588 Å, 90.00 90.00 90.00°
Space group I4mm (No. 107)
Inequivalent atoms, fractional coordinates:
Ce 0.000 0.500 0.000
Al 0.000 0.000 0.200
Ni 0.000 0.000 0.522
Ni 0.211 0.211 0.761

10.
This record from Alexandria describes an optimized crystal structure of CeAl9Ni2. The functional is GGA-PBE.

Cell: 10.558 10.558 6.955 Å, 90.00 90.00 90.00°
Space group I4_1/amd (No. 141, origin choice 2)
Inequivalent atoms, fractional coordinates:
Ce 0.000 0.250 0.375
Al 0.000 0.250 0.875
Al 0.123 0.052 0.686
Ni 0.000 0.000 0.000

11.
This record from Alexandria describes an optimized crystal structure of Ce2Al8Ni. The functional is GGA-PBE.

Cell: 4.295 4.295 11.254 Å, 90.00 90.00 90.00°
Space group P4/mmm (No. 123)
Inequivalent atoms, fractional coordinates:
Ce 0.000 0.000 0.193
Al 0.000 0.500 0.000
Al 0.000 0.500 0.382
Al 0.500 0.500 0.198
Ni 0.000 0.000 0.500

12.
This record from Alexandria describes an optimized crystal structure of Ce2AlNi9. The functional is GGA-PBE.

Cell: 4.8324 4.8324 24.7098 Å, 90.00 90.00 120.00°
Space group R-3m (No. 166, hexagonal axes)
Inequivalent atoms, fractional coordinates:
Ce 0.0000 0.0000 0.1349
Al 0.0000 0.0000 0.0000
Ni 0.0000 0.0000 0.3327
Ni 0.0000 0.0000 0.5000
Ni 0.0000 0.5000 0.0812

| no. | formation energy from the elements (eV per atom) |
| --- | --- |
| 1 | -0.423 |
| 2 | -0.323 |
| 3 | -0.501 |
| 4 | -0.440 |
| 5 | -0.570 |
| 6 | -0.537 |
| 7 | -0.221 |
| 8 | -0.336 |
| 9 | -0.295 |
| 10 | -0.375 |
| 11 | -0.406 |
| 12 | -0.263 |